Entry from the Open Quantum Materials Database: a relaxed HgIr9 crystal (PBE-GGA).

Geometry as POSCAR:
```
HgIr9
1.0
2.7517 0.0000 0.0000
0.0000 2.7517 0.0000
0.0000 0.0000 51.3190
Hg Ir
2 18
Cartesian
0.0000 1.3759 7.0221
1.3759 0.0000 44.2969
1.3759 0.0000 9.3924
0.0000 1.3759 11.2415
1.3759 0.0000 13.1777
0.0000 1.3759 15.1044
1.3759 0.0000 17.0219
0.0000 1.3759 18.9419
1.3759 0.0000 20.8645
0.0000 1.3759 22.7859
1.3759 0.0000 24.7027
0.0000 1.3759 26.6163
1.3759 0.0000 28.5331
0.0000 1.3759 30.4545
1.3759 0.0000 32.3771
0.0000 1.3759 34.2971
1.3759 0.0000 36.2146
0.0000 1.3759 38.1413
1.3759 0.0000 40.0775
0.0000 1.3759 41.9266
```

Results
Raw total energy = -7.906 eV/atom
Relative energy among the computed polymorphs = 0 meV per atom
Energy relative to the elements = 0.0936 eV per atom
Space group = P4/nmm
Crystal system = tetragonal



Entry from the Open Quantum Materials Database: a relaxed KHg3IrS4 crystal (PBE-GGA).

Geometry as POSCAR:
```
KHg3IrS4
1.0
-7.1845 0.4651 -0.5360
0.4406 -1.3507 -7.0783
-0.5563 -7.0767 1.3158
Hg Ir K S
3 1 1 4
Cartesian
-3.5923 0.2326 -0.2680
0.2203 -0.6753 -3.5392
-0.2782 -3.5384 0.6579
0.0000 0.0000 0.0000
-3.6501 -3.9811 -3.1493
-5.9413 -1.0988 -1.4552
-0.9983 -2.2759 -5.6963
-1.6445 -5.9879 -0.2548
-6.0163 -6.5619 -5.1908
```

Results
Raw total energy = -3.072 eV/atom
Space group = P-43m
Crystal system = cubic



Values for M_tot, Bohr magnetons per cell, ordered as above
0.00, 0.01